No. 1
Density functional theory data (GGA-PBEsol) for a relaxed Te2OsRhN crystal.

abc: 5.2454 5.2454 3.5908
angles: 90.00 90.00 90.00
Element x y z (fractional)
Te1 0.0000 0.5000 0.0000
Te2 0.5000 0.0000 0.0000
Os1 0.0000 0.0000 0.0000
Rh1 0.5000 0.5000 0.5000
N1 0.0000 0.0000 0.5000

The calculation puts the spin magnetization at 0.0 μB per formula unit. The uncorrected formation energy comes out at 0.6103 eV per atom.



No. 2
Density functional theory data (GGA-PBEsol) for a relaxed OsRuN3 crystal.

abc: 3.7732 3.7732 3.7732
angles: 90.00 90.00 90.00
Element x y z (fractional)
Os1 0.0000 0.0000 0.0000
Ru1 0.5000 0.5000 0.5000
N1 0.0000 0.5000 0.5000
N2 0.5000 0.0000 0.5000
N3 0.5000 0.5000 0.0000

The calculation puts the spin magnetization at 0.0 μB per formula unit. The uncorrected formation energy comes out at 1.8166 eV per atom.



No. 3
Density functional theory data (GGA-PBEsol) for a relaxed OsRuSe2N crystal.

abc: 4.8655 4.8655 3.5092
angles: 90.00 90.00 90.00
Element x y z (fractional)
Os1 0.0000 0.0000 0.0000
Ru1 0.5000 0.5000 0.5000
Se1 0.0000 0.5000 0.5000
Se2 0.5000 0.0000 0.5000
N1 0.5000 0.5000 0.0000

The calculation puts the spin magnetization at 0.5 μB per formula unit. The uncorrected formation energy comes out at 1.1037 eV per atom.



No. 4
Density functional theory data (GGA-PBEsol) for a relaxed Te2OsRuN crystal.

abc: 5.1623 5.1623 3.5244
angles: 90.00 90.00 90.00
Element x y z (fractional)
Te1 0.0000 0.5000 0.0000
Te2 0.5000 0.0000 0.0000
Os1 0.0000 0.0000 0.5000
Ru1 0.5000 0.5000 0.0000
N1 0.5000 0.5000 0.5000

The calculation puts the spin magnetization at 0.0 μB per formula unit. The uncorrected formation energy comes out at 0.9638 eV per atom.



No. 5
Density functional theory data (GGA-PBEsol) for a relaxed Os3SN crystal.

abc: 4.2679 4.2679 4.2679
angles: 90.00 90.00 90.00
Element x y z (fractional)
Os1 0.0000 0.0000 0.5000
Os2 0.0000 0.5000 0.0000
Os3 0.5000 0.0000 0.0000
S1 0.0000 0.0000 0.0000
N1 0.5000 0.5000 0.5000

The calculation puts the spin magnetization at 0.7 μB per formula unit. The uncorrected formation energy comes out at 2.4676 eV per atom.



No. 6
Density functional theory data (GGA-PBEsol) for a relaxed OsS2N2 crystal.

abc: 4.6748 4.6748 3.6622
angles: 90.00 90.00 90.00
Element x y z (fractional)
Os1 0.0000 0.0000 0.0000
S1 0.0000 0.5000 0.0000
S2 0.5000 0.0000 0.0000
N1 0.0000 0.0000 0.5000
N2 0.5000 0.5000 0.5000

The calculation puts the spin magnetization at 1.6 μB per formula unit. The uncorrected formation energy comes out at 1.5385 eV per atom.



No. 7
Density functional theory data (GGA-PBEsol) for a relaxed SrOsS2N crystal.

abc: 4.8968 4.8968 3.7285
angles: 90.00 90.00 90.00
Element x y z (fractional)
Sr1 0.0000 0.0000 0.0000
Os1 0.5000 0.5000 0.5000
S1 0.0000 0.5000 0.5000
S2 0.5000 0.0000 0.5000
N1 0.5000 0.5000 0.0000

The calculation puts the spin magnetization at 0.0 μB per formula unit. The uncorrected formation energy comes out at -0.5822 eV per atom.



No. 8
Density functional theory data (GGA-PBEsol) for a relaxed TeOsSN2 crystal.

abc: 3.8345 3.8345 5.2480
angles: 90.00 90.00 90.00
Element x y z (fractional)
Te1 0.0000 0.0000 0.0000
Os1 0.5000 0.5000 0.5000
S1 0.0000 0.0000 0.5000
N1 0.0000 0.5000 0.0000
N2 0.5000 0.0000 0.0000

The calculation puts the spin magnetization at 3.3 μB per formula unit. The uncorrected formation energy comes out at 2.1115 eV per atom.



No. 9
Density functional theory data (GGA-PBEsol) for a relaxed SbOsN3 crystal.

abc: 3.9344 3.9344 3.9344
angles: 90.00 90.00 90.00
Element x y z (fractional)
Sb1 0.0000 0.0000 0.0000
Os1 0.5000 0.5000 0.5000
N1 0.0000 0.0000 0.5000
N2 0.0000 0.5000 0.0000
N3 0.5000 0.0000 0.0000

The calculation puts the spin magnetization at 0.0 μB per formula unit. The uncorrected formation energy comes out at 2.1678 eV per atom.



No. 10
Density functional theory data (GGA-PBEsol) for a relaxed SbTeOsN2 crystal.

abc: 3.9122 3.9122 6.2766
angles: 90.00 90.00 90.00
Element x y z (fractional)
Sb1 0.0000 0.0000 0.0000
Te1 0.0000 0.0000 0.5000
Os1 0.5000 0.5000 0.5000
N1 0.0000 0.5000 0.0000
N2 0.5000 0.0000 0.0000

The calculation puts the spin magnetization at 3.3 μB per formula unit. The uncorrected formation energy comes out at 1.9708 eV per atom. The excess energy over the best structure of this formula in the dataset comes out at 1.110 eV per atom.



No. 11
Density functional theory data (GGA-PBEsol) for a relaxed Sb2TeOsN crystal.

abc: 4.5320 4.5320 4.4686
angles: 90.00 90.00 90.00
Element x y z (fractional)
Sb1 0.0000 0.5000 0.0000
Sb2 0.5000 0.0000 0.0000
Te1 0.0000 0.0000 0.5000
Os1 0.5000 0.5000 0.5000
N1 0.0000 0.0000 0.0000

The calculation puts the spin magnetization at 0.0 μB per formula unit. The uncorrected formation energy comes out at 0.9926 eV per atom.



No. 12
Density functional theory data (GGA-PBEsol) for a relaxed SbTeOsN2 crystal.

abc: 3.9370 3.9370 5.6865
angles: 90.00 90.00 90.00
Element x y z (fractional)
Sb1 0.0000 0.0000 0.0000
Te1 0.5000 0.5000 0.0000
Os1 0.5000 0.5000 0.5000
N1 0.0000 0.5000 0.5000
N2 0.5000 0.0000 0.5000

The calculation puts the spin magnetization at 0.5 μB per formula unit. The uncorrected formation energy comes out at 0.8604 eV per atom. The excess energy over the best structure of this formula in the dataset comes out at 0.000 eV per atom.